[1]
Li3Mg2Zn2Ga4 GGA-PBE optimized geometry; magnetization = 0.00 μB per formula unit; crystal system = tetragonal; uncorrected energy = -24.50 eV/f.u.; calculated formation energy = -83 meV per atom
1.0
-1.9826 1.9826 12.9684
1.9826 -1.9826 12.9684
1.9826 1.9826 -12.9684
Li Mg Zn Ga
3 2 2 4
direct
0.0000 0.0000 0.0000
0.1862 0.1862 0.0000
0.8138 0.8138 0.0000
0.2977 0.2977 0.0000
0.7023 0.7023 0.0000
0.4535 0.4535 0.0000
0.5465 0.5465 0.0000
0.1142 0.6142 0.5000
0.3858 0.8858 0.5000
0.6142 0.1142 0.5000
0.8858 0.3858 0.5000

[2]
RbLi GGA-PBE optimized geometry; magnetization = 0.00 μB per formula unit; crystal system = monoclinic; uncorrected energy = -2.54 eV/f.u.; calculated formation energy = 170 meV per atom
1.0
6.2777 0.0000 0.0000
0.0000 4.5804 0.0000
-3.0433 0.0000 7.3158
Rb Li
2 2
direct
0.1473 0.2500 0.2904
0.8527 0.7500 0.7096
0.4298 0.2500 0.8697
0.5702 0.7500 0.1303

[3]
Tl4Pb3 GGA-PBE optimized geometry; magnetization = 0.00 μB per formula unit; crystal system = hexagonal; uncorrected energy = -20.22 eV/f.u.; relative energy among the computed polymorphs = 0.055 eV/atom; calculated formation energy = 52 meV per atom
1.0
6.5391 0.0000 0.0000
-3.2696 5.6630 0.0000
0.0000 0.0000 6.2264
Tl Pb
4 3
direct
0.0000 0.0000 0.2462
0.0000 0.0000 0.7538
0.3333 0.6667 0.0000
0.6667 0.3333 0.0000
0.0000 0.5000 0.5000
0.5000 0.0000 0.5000
0.5000 0.5000 0.5000

[4]
Ta4NbW5 GGA-PBE optimized geometry; magnetization = 0.00 μB per formula unit; crystal system = tetragonal; uncorrected energy = -123.15 eV/f.u.; calculated formation energy = -90 meV per atom
1.0
3.2426 0.0000 0.0000
0.0000 3.2426 0.0000
0.0000 0.0000 16.2149
Ta Nb W
4 1 5
direct
0.0000 0.0000 0.1000
0.0000 0.0000 0.2998
0.0000 0.0000 0.7002
0.0000 0.0000 0.9000
0.0000 0.0000 0.5000
0.5000 0.5000 0.0000
0.5000 0.5000 0.2000
0.5000 0.5000 0.4000
0.5000 0.5000 0.6000
0.5000 0.5000 0.8000

[5]
SbAs2Se GGA-PBE optimized geometry; formation energy from raw total energies = 0.379 eV per atom; magnetization = 0.00 μB per formula unit; crystal system = tetragonal; uncorrected energy = -15.39 eV/f.u.; relative energy among the computed polymorphs = 0.364 eV/atom
1.0
3.8834 0.0000 0.0000
0.0000 3.8834 0.0000
0.0000 0.0000 13.3167
Sb As Se
2 4 2
direct
0.0000 0.0000 0.0000
0.5000 0.5000 0.5000
0.0000 0.5000 0.2500
0.0000 0.5000 0.7500
0.5000 0.0000 0.2500
0.5000 0.0000 0.7500
0.0000 0.0000 0.5000
0.5000 0.5000 0.0000

[6]
Sm2Ho2ErTm2 GGA-PBE optimized geometry; magnetization = 0.00 μB per formula unit; crystal system = monoclinic; uncorrected energy = -31.48 eV/f.u.; calculated formation energy = 88 meV per atom
1.0
11.6026 0.0000 0.0000
0.0000 3.4926 0.0000
-3.8739 0.0000 11.0503
Sm Ho Er Tm
4 4 2 4
direct
0.1708 0.0000 0.0848
0.3292 0.5000 0.9152
0.6708 0.5000 0.0848
0.8292 0.0000 0.9152
0.0504 0.0000 0.7689
0.4496 0.5000 0.2311
0.5504 0.5000 0.7689
0.9496 0.0000 0.2311
0.0000 0.5000 0.5000
0.5000 0.0000 0.5000
0.2263 0.5000 0.3638
0.2737 0.0000 0.6362
0.7263 0.0000 0.3638
0.7737 0.5000 0.6362

[7]
La4Pm2Y5 GGA-PBE optimized geometry; magnetization = 0.00 μB per formula unit; crystal system = monoclinic; uncorrected energy = -60.63 eV/f.u.; relative energy among the computed polymorphs = 0.000 eV/atom; calculated formation energy = 82 meV per atom
1.0
8.9678 -1.7819 0.0000
8.9678 1.7819 0.0000
-0.9520 0.0000 11.8735
La Pm Y
4 2 5
direct
0.0376 0.0376 0.2609
0.3594 0.3594 0.2024
0.6406 0.6406 0.7976
0.9624 0.9624 0.7391
0.2853 0.2853 0.6458
0.7147 0.7147 0.3542
0.0966 0.0966 0.5410
0.1781 0.1781 0.0698
0.5000 0.5000 0.0000
0.8219 0.8219 0.9302
0.9034 0.9034 0.4590

[8]
TaTiH GGA-PBE optimized geometry; magnetization = 0.00 μB per formula unit; crystal system = trigonal; uncorrected energy = -23.20 eV/f.u.; relative energy among the computed polymorphs = 0.104 eV/atom
1.0
2.9352 0.0000 0.0000
-1.4676 2.5420 0.0000
0.0000 0.0000 5.0221
Ta Ti H
1 1 1
direct
0.0000 0.0000 0.0000
0.3333 0.6667 0.5165
0.6667 0.3333 0.2632

[9]
LiGaFeRe GGA-PBE optimized geometry; magnetization = 0.89 μB per formula unit; crystal system = orthorhombic; uncorrected energy = -25.52 eV/f.u.; relative energy among the computed polymorphs = 0.075 eV/atom; calculated formation energy = 83 meV per atom
1.0
2.6610 0.0000 0.0000
0.0000 4.1942 0.0000
0.0000 0.0000 4.7080
Li Ga Fe Re
1 1 1 1
direct
0.0000 0.0000 0.0000
0.5000 0.5000 0.1408
0.5000 0.0000 0.4901
0.0000 0.5000 0.6422

[10]
CdPbSe3 GGA-PBE optimized geometry; formation energy from raw total energies = 0.133 eV per atom; magnetization = 0.00 μB per formula unit; crystal system = cubic; uncorrected energy = -14.41 eV/f.u.; relative energy among the computed polymorphs = 0.000 eV/atom
1.0
5.2358 0.0000 0.0000
0.0000 5.2358 0.0000
0.0000 0.0000 5.2358
Cd Pb Se
1 1 3
direct
0.0000 0.0000 0.0000
0.5000 0.5000 0.5000
0.0000 0.0000 0.5000
0.0000 0.5000 0.0000
0.5000 0.0000 0.0000

[11]
Nd2Be3Si4Ir GGA-PBE optimized geometry; formation energy from raw total energies = -0.520 eV per atom; magnetization = 0.00 μB per formula unit; crystal system = tetragonal; uncorrected energy = -56.46 eV/f.u.
1.0
3.9875 0.0000 0.0000
0.0000 3.9875 0.0000
0.0000 0.0000 9.9515
Nd Be Si Ir
2 3 4 1
direct
0.0000 0.5000 0.2416
0.5000 0.0000 0.7584
0.0000 0.5000 0.8714
0.5000 0.0000 0.1286
0.5000 0.5000 0.5000
0.0000 0.0000 0.0000
0.0000 0.5000 0.6338
0.5000 0.0000 0.3662
0.5000 0.5000 0.0000
0.0000 0.0000 0.5000

[12]
FeTcPt GGA-PBE optimized geometry; magnetization = 1.69 μB per formula unit; crystal system = cubic; uncorrected energy = -23.96 eV/f.u.; relative energy among the computed polymorphs = 0.368 eV/atom; calculated formation energy = 304 meV per atom
1.0
5.7297 0.0000 0.0000
0.0000 5.7297 0.0000
0.0000 0.0000 5.7297
Fe Tc Pt
4 4 4
direct
0.0000 0.0000 0.0000
0.0000 0.5000 0.5000
0.5000 0.0000 0.5000
0.5000 0.5000 0.0000
0.2500 0.2500 0.2500
0.2500 0.7500 0.7500
0.7500 0.2500 0.7500
0.7500 0.7500 0.2500
0.2500 0.2500 0.7500
0.2500 0.7500 0.2500
0.7500 0.2500 0.2500
0.7500 0.7500 0.7500

[13]
Rb3TaGe2O8 GGA-PBE optimized geometry; formation energy from raw total energies = -2.024 eV per atom; magnetization = 0.00 μB per formula unit; crystal system = trigonal; uncorrected energy = -91.99 eV/f.u.
1.0
5.7109 0.0000 0.0000
-2.8554 4.9458 0.0000
0.0000 0.0000 8.4996
Rb Ta Ge O
3 1 2 8
direct
0.0000 0.0000 0.0000
0.3333 0.6667 0.7716
0.6667 0.3333 0.2284
0.0000 0.0000 0.5000
0.3333 0.6667 0.2902
0.6667 0.3333 0.7098
0.1638 0.3275 0.3634
0.1638 0.8362 0.3634
0.3275 0.1638 0.6366
0.3333 0.6667 0.0887
0.6667 0.3333 0.9113
0.6725 0.8362 0.3634
0.8362 0.1638 0.6366
0.8362 0.6725 0.6366

[14]
GdErZnRh GGA-PBE optimized geometry; magnetization = 7.09 μB per formula unit; crystal system = cubic; uncorrected energy = -29.65 eV/f.u.; calculated formation energy = -596 meV per atom
1.0
6.9834 0.0000 0.0000
0.0000 6.9834 0.0000
0.0000 0.0000 6.9834
Gd Er Zn Rh
4 4 4 4
direct
0.0000 0.0000 0.0000
0.0000 0.5000 0.5000
0.5000 0.0000 0.5000
0.5000 0.5000 0.0000
0.0000 0.0000 0.5000
0.0000 0.5000 0.0000
0.5000 0.0000 0.0000
0.5000 0.5000 0.5000
0.2500 0.2500 0.2500
0.2500 0.7500 0.7500
0.7500 0.2500 0.7500
0.7500 0.7500 0.2500
0.2500 0.2500 0.7500
0.2500 0.7500 0.2500
0.7500 0.2500 0.2500
0.7500 0.7500 0.7500

[15]
Tl2ZnInS4 GGA-PBE optimized geometry; formation energy from raw total energies = -0.408 eV per atom; magnetization = 0.00 μB per formula unit; crystal system = monoclinic; uncorrected energy = -28.52 eV/f.u.
1.0
9.4721 0.0000 0.0000
0.0000 10.0884 0.0000
-4.7359 0.0000 4.7429
Tl Zn In S
4 2 2 8
direct
0.0000 0.0000 0.0000
0.0000 0.2501 0.5000
0.5000 0.5000 0.0000
0.5000 0.7501 0.5000
0.0000 0.7498 0.5000
0.5000 0.2498 0.5000
0.0000 0.4998 0.0000
0.5000 0.9998 0.0000
0.1822 0.6293 0.4426
0.2396 0.8701 0.9215
0.2604 0.3701 0.0785
0.3178 0.1293 0.5574
0.6822 0.1293 0.4426
0.7396 0.3701 0.9215
0.7604 0.8701 0.0785
0.8178 0.6293 0.5574

[16]
MgIrRu GGA-PBE optimized geometry; magnetization = 0.00 μB per formula unit; crystal system = orthorhombic; uncorrected energy = -19.81 eV/f.u.; relative energy among the computed polymorphs = 0.091 eV/atom; calculated formation energy = -27 meV per atom
1.0
2.8083 0.0000 0.0000
0.0000 3.9109 0.0000
0.0000 0.0000 8.1143
Mg Ir Ru
2 2 2
direct
0.0000 0.0000 0.0000
0.5000 0.5000 0.5000
0.0000 0.0000 0.3314
0.5000 0.5000 0.8314
0.0000 0.0000 0.6713
0.5000 0.5000 0.1713

[17]
Tb4NdBi5 GGA-PBE optimized geometry; magnetization = 0.00 μB per formula unit; crystal system = orthorhombic; uncorrected energy = -51.61 eV/f.u.; calculated formation energy = -892 meV per atom
1.0
-2.2586 3.1933 11.2851
2.2586 -3.1933 11.2851
2.2586 3.1933 -11.2851
Tb Nd Bi
4 1 5
direct
0.1001 0.1001 0.0000
0.2985 0.2985 0.0000
0.7015 0.7015 0.0000
0.8999 0.8999 0.0000
0.5000 0.5000 0.0000
0.0000 0.5000 0.5000
0.1994 0.6994 0.5000
0.3971 0.8971 0.5000
0.6029 0.1029 0.5000
0.8006 0.3006 0.5000

[18]
Tb8Ga2Ag3 GGA-PBE optimized geometry; magnetization = 0.00 μB per formula unit; crystal system = orthorhombic; uncorrected energy = -54.12 eV/f.u.; calculated formation energy = -190 meV per atom
1.0
4.9621 -7.3276 0.0000
4.9621 7.3276 0.0000
0.0000 0.0000 4.9679
Tb Ga Ag
8 2 3
direct
0.1172 0.3731 0.5000
0.1232 0.8768 0.0000
0.3666 0.6334 0.0000
0.3731 0.1172 0.5000
0.6269 0.8828 0.5000
0.6334 0.3666 0.0000
0.8768 0.1232 0.0000
0.8828 0.6269 0.5000
0.2471 0.7529 0.5000
0.7529 0.2471 0.5000
0.2565 0.2565 0.0000
0.5000 0.5000 0.5000
0.7435 0.7435 0.0000

[19]
Na2Si2N3 GGA-PBE optimized geometry; formation energy from raw total energies = -0.570 eV per atom; magnetization = 0.00 μB per formula unit; crystal system = monoclinic; uncorrected energy = -42.45 eV/f.u.
1.0
10.1490 0.0000 0.0000
0.0000 3.0374 0.0000
-0.2998 0.0000 7.1583
Na Si N
4 4 6
direct
0.0962 0.0000 0.3137
0.4038 0.5000 0.6863
0.5962 0.5000 0.3137
0.9038 0.0000 0.6863
0.1551 0.5000 0.9422
0.3449 0.0000 0.0578
0.6551 0.0000 0.9422
0.8449 0.5000 0.0578
0.0000 0.5000 0.0000
0.2222 0.0000 0.8578
0.2778 0.5000 0.1422
0.5000 0.0000 0.0000
0.7222 0.5000 0.8578
0.7778 0.0000 0.1422

[20]
TlMoIr2 GGA-PBE optimized geometry; magnetization = 0.00 μB per formula unit; crystal system = orthorhombic; uncorrected energy = -29.36 eV/f.u.; relative energy among the computed polymorphs = 0.302 eV/atom; calculated formation energy = 390 meV per atom
1.0
5.8542 0.0000 0.0000
0.0000 7.7641 0.0000
0.0000 0.0000 2.9155
Tl Mo Ir
2 2 4
direct
0.0000 0.0000 0.0000
0.5000 0.5000 0.0000
0.0000 0.5000 0.0000
0.5000 0.0000 0.0000
0.2500 0.2500 0.5000
0.2500 0.7500 0.5000
0.7500 0.2500 0.5000
0.7500 0.7500 0.5000